## Nd2CdBi4 (GGA-PBE)

Data for a geometry-optimized Nd2CdBi4 structure.

density: 9.20 g cm⁻³
symmetry: P-4m2 (115)
DFT formation energy: -0.540 eV/atom

a b c (Å): 4.6016 4.6016 10.5413
angles (deg): 90.00 90.00 90.00
Closest atoms and distances in Å follow each position.
Atoms (fractional coordinates):
Nd 0.0000 0.5000 0.2445  8 Bi 3.35-3.46, 2 Cd 3.54
Nd 0.5000 0.0000 0.7555  8 Bi 3.35-3.46, 2 Cd 3.54
Cd 0.0000 0.0000 0.5000  4 Bi 2.98
Bi 0.0000 0.0000 0.0000  4 Bi 3.25, 4 Nd 3.46
Bi 0.0000 0.5000 0.6797  2 Cd 2.98
Bi 0.5000 0.0000 0.3203  2 Cd 2.98
Bi 0.5000 0.5000 0.0000  4 Bi 3.25, 4 Nd 3.46

---

## Nd3CdBi2 (GGA-PBE)

Data for a geometry-optimized Nd3CdBi2 structure.

density: 7.82 g cm⁻³
symmetry: C2/c (15)
DFT formation energy: -0.609 eV/atom

a b c (Å): 7.9588 7.9588 9.1754
angles (deg): 106.74 106.74 47.88
Closest atoms and distances in Å follow each position.
Atoms (fractional coordinates):
Nd 0.0005 0.9995 0.7500  2 Cd 3.23, 4 Bi 3.23
Nd 0.3248 0.3250 0.4125  4 Bi 3.19-3.23, 2 Cd 3.33
Nd 0.3250 0.3248 0.9125  4 Bi 3.19-3.23, 2 Cd 3.33
Nd 0.6750 0.6752 0.0875  4 Bi 3.19-3.23, 2 Cd 3.33
Nd 0.6752 0.6750 0.5875  4 Bi 3.19-3.23, 2 Cd 3.33
Nd 0.9995 0.0005 0.2500  2 Cd 3.23, 4 Bi 3.23
Cd 0.4994 0.5006 0.2500  6 Nd 3.23-3.33
Cd 0.5006 0.4994 0.7500  6 Nd 3.23-3.33
Bi 0.1647 0.1649 0.0825  6 Nd 3.19-3.23
Bi 0.1649 0.1647 0.5825  6 Nd 3.19-3.23
Bi 0.8351 0.8353 0.4175  6 Nd 3.19-3.23
Bi 0.8353 0.8351 0.9175  6 Nd 3.19-3.23

---

## Nd3CdBi (GGA-PBE)

Data for a geometry-optimized Nd3CdBi structure.

density: 7.70 g cm⁻³
symmetry: P-1 (2)
DFT formation energy: -0.404 eV/atom

a b c (Å): 4.2921 8.5650 9.1440
angles (deg): 87.42 89.97 75.53
Closest atoms and distances in Å follow each position.
Atoms (fractional coordinates):
Nd 0.0425 0.4144 0.2004  1 Cd 3.29, 4 Bi 3.44-3.45
Nd 0.2415 0.0164 0.8222  2 Cd 3.22, 3 Bi 3.29-3.31
Nd 0.4052 0.6880 0.4305  3 Cd 3.20-3.31, 1 Nd 3.31, 1 Bi 3.33
Nd 0.5948 0.3120 0.5695  3 Cd 3.20-3.31, 1 Nd 3.31, 1 Bi 3.33
Nd 0.7585 0.9836 0.1778  2 Cd 3.22, 3 Bi 3.29-3.31
Nd 0.9575 0.5856 0.7996  1 Cd 3.29, 4 Bi 3.44-3.45
Cd 0.2068 0.0873 0.4185  2 Cd 2.95-2.96, 5 Nd 3.20-3.29
Cd 0.7932 0.9127 0.5815  2 Cd 2.95-2.96, 5 Nd 3.20-3.29
Bi 0.3944 0.7113 0.0656  8 Nd 3.29-3.45
Bi 0.6056 0.2887 0.9344  8 Nd 3.29-3.45

---

## NdCdBi2 (GGA-PBE)

Data for a geometry-optimized NdCdBi2 structure.

density: 6.57 g cm⁻³
symmetry: R-3m (166)
DFT formation energy: -0.078 eV/atom

a b c (Å): 9.6929 9.6929 9.6929
angles (deg): 27.42 27.42 27.42
Closest atoms and distances in Å follow each position.
Atoms (fractional coordinates):
Nd 0.0000 0.0000 0.0000  6 Bi 3.24
Cd 0.5000 0.5000 0.5000  2 Bi 2.80
Bi 0.4000 0.4000 0.4000  1 Cd 2.80
Bi 0.6000 0.6000 0.6000  1 Cd 2.80

---

## Nd8Cd2Bi (GGA-PBE)

Data for a geometry-optimized Nd8Cd2Bi structure.

density: 7.40 g cm⁻³
symmetry: C2/m (12)
DFT formation energy: -0.244 eV/atom

a b c (Å): 8.9051 8.9051 8.9279
angles (deg): 119.50 119.50 36.02
Closest atoms and distances in Å follow each position.
Atoms (fractional coordinates):
Nd 0.0699 0.0699 0.2175  1 Cd 3.20, 3 Nd 3.34-3.39
Nd 0.1418 0.1418 0.6893  3 Cd 3.23-3.45, 2 Bi 3.46
Nd 0.3179 0.3179 0.5468  1 Bi 3.32, 5 Nd 3.39-3.67, 1 Cd 3.39
Nd 0.4063 0.4063 0.0451  3 Cd 3.32-3.45, 1 Bi 3.51, 3 Nd 3.63-3.66
Nd 0.5937 0.5937 0.9549  3 Cd 3.32-3.45, 1 Bi 3.51, 3 Nd 3.63-3.66
Nd 0.6821 0.6821 0.4532  1 Bi 3.32, 5 Nd 3.39-3.67, 1 Cd 3.39
Nd 0.8582 0.8582 0.3107  3 Cd 3.23-3.45, 2 Bi 3.46
Nd 0.9301 0.9301 0.7825  1 Cd 3.20, 3 Nd 3.34-3.39
Cd 0.2213 0.2213 0.1060  8 Nd 3.20-3.45
Cd 0.7787 0.7787 0.8940  8 Nd 3.20-3.45
Bi 0.5000 0.5000 0.5000  8 Nd 3.32-3.51

---

## NdCdBiPb (GGA-PBE)

Data for a geometry-optimized NdCdBiPb structure.

density: 9.27 g cm⁻³
symmetry: F-43m (216)
DFT formation energy: -0.235 eV/atom

a b c (Å): 5.5444 5.5444 5.5444
angles (deg): 60.00 60.00 60.00
Closest atoms and distances in Å follow each position.
Atoms (fractional coordinates):
Nd 0.0000 0.0000 0.0000  4 Cd 3.40, 4 Bi 3.40
Cd 0.2500 0.2500 0.2500  4 Pb 3.40, 4 Nd 3.40
Bi 0.7500 0.7500 0.7500  4 Pb 3.40, 4 Nd 3.40
Pb 0.5000 0.5000 0.5000  4 Bi 3.40, 4 Cd 3.40

---

| no. | magnetic moment (μB/cell) | D(E_F) (states/eV per atom) |
| --- | --- | --- |
| 1 | 0.00 | 0.3479 |
| 2 | 0.00 | 1.0577 |
| 3 | 0.01 | 1.3643 |
| 4 | 0.00 | 0.2902 |
| 5 | 0.00 | 0.9355 |
| 6 | 0.00 | 0.7194 |